{
  "formula": "Mn2RePb",
  "functional": "meta-GGA SCAN",
  "state": "single point on PBEsol structure",
  "e_tot_ry_per_atom": -3.340,
  "ef_ev_per_fu": 1.63,
  "lattice": [[3.9465, 0.0000, 0.0000], [0.0000, 3.9465, 0.0000], [0.0000, 0.0000, 3.8313]],
  "species": ["Mn", "Mn", "Re", "Pb"],
  "frac_coords": [[0.0000, 0.5000, 0.0000], [0.5000, 0.0000, 0.0000], [0.0000, 0.0000, 0.5000], [0.5000, 0.5000, 0.5000]]
}



{
  "formula": "Mn3RePb",
  "functional": "meta-GGA SCAN",
  "state": "single point on PBEsol structure",
  "e_tot_ry_per_atom": -2.835,
  "ef_ev_per_fu": 8.80,
  "lattice": [[4.8250, 0.0000, 0.0000], [0.0000, 4.8250, 0.0000], [0.0000, 0.0000, 4.8250]],
  "species": ["Mn", "Mn", "Mn", "Re", "Pb"],
  "frac_coords": [[0.0000, 0.0000, 0.5000], [0.0000, 0.5000, 0.0000], [0.5000, 0.0000, 0.0000], [0.5000, 0.5000, 0.5000], [0.0000, 0.0000, 0.0000]]
}



{
  "formula": "Mn2RePb",
  "functional": "meta-GGA SCAN",
  "state": "single point on PBEsol structure",
  "e_tot_ry_per_atom": -3.346,
  "ef_ev_per_fu": 1.28,
  "lattice": [[2.9713, 0.0000, 0.0000], [0.0000, 3.6139, 0.0000], [0.0000, 0.0000, 5.6914]],
  "species": ["Mn", "Mn", "Re", "Pb"],
  "frac_coords": [[0.0000, 0.0000, 0.2076], [0.0000, 0.0000, 0.7924], [0.5000, 0.5000, 0.0000], [0.5000, 0.5000, 0.5000]]
}



{
  "formula": "MnRe2RhPb",
  "functional": "meta-GGA SCAN",
  "state": "single point on PBEsol structure",
  "e_tot_ry_per_atom": -3.862,
  "ef_ev_per_fu": 7.28,
  "lattice": [[4.4165, 0.0000, 0.0000], [0.0000, 4.4165, 0.0000], [0.0000, 0.0000, 4.5464]],
  "species": ["Mn", "Re", "Re", "Rh", "Pb"],
  "frac_coords": [[0.0000, 0.0000, 0.0000], [0.0000, 0.5000, 0.0000], [0.5000, 0.0000, 0.0000], [0.0000, 0.0000, 0.5000], [0.5000, 0.5000, 0.5000]]
}